# 1
## HoZnInRh (GGA-PBE)

Data for a relaxed structure of HoZnInRh.

Lattice parameters (Å, degrees): 6.7384 6.7384 6.7384 90.00 90.00 90.00
Closest atoms and distances in Å follow each position.
Space group F-43m (No. 216)
Symmetry-distinct sites (fractional):
Ho  0.0000  0.0000  0.0000 [4 per cell]  4 Rh 2.92, 4 Zn 2.92
Zn  0.2500  0.2500  0.2500 [4 per cell]  4 In 2.92, 4 Ho 2.92
In  0.0000  0.0000  0.5000 [4 per cell]  4 Rh 2.92, 4 Zn 2.92
Rh  0.2500  0.2500  0.7500 [4 per cell]  4 In 2.92, 4 Ho 2.92

- Magnetic moment: 0.00 Bohr magnetons per cell
- VASP energy: -4.464 eV per atom

---

# 2
## HfHIr2Cl (GGA-PBE)

Data for a relaxed structure of HfHIr2Cl.

Lattice parameters (Å, degrees): 3.7903 3.7903 4.9665 90.00 90.00 90.00
Closest atoms and distances in Å follow each position.
Space group P4/mmm (No. 123)
Symmetry-distinct sites (fractional):
Hf  0.0000  0.0000  0.0000 [1 per cell]  2 H 2.48, 4 Cl 2.68
H  0.0000  0.0000  0.5000 [1 per cell]  4 Ir 1.90
Ir  0.0000  0.5000  0.5000 [2 per cell]  2 H 1.90
Cl  0.5000  0.5000  0.0000 [1 per cell]  4 Hf 2.68

- Magnetic moment: 0.00 Bohr magnetons per cell
- VASP energy: -6.408 eV per atom